A plane-wave DFT calculation with GGA-PBE was carried out for a relaxed BaHoAs2S8 crystal.

```
BaHoAs2S8
1.0
6.1677 0.0000 0.0000
-3.0839 5.3414 0.0000
0.0000 0.0000 9.3270
Ba Ho As S
1 1 2 8
direct
0.0000 0.0000 0.0000
0.0000 0.0000 0.5000
0.3333 0.6667 0.7513
0.6667 0.3333 0.2487
0.0185 0.6714 0.3101
0.3286 0.3471 0.3101
0.3333 0.6667 0.9849
0.3471 0.0185 0.6899
0.6529 0.9815 0.3101
0.6667 0.3333 0.0151
0.6714 0.6529 0.6899
0.9815 0.3286 0.6899
```

Energy relative to the elements, uncorrected ... -0.676 eV/atom
Crystal system ... trigonal
Volume ... 307.3 Å³/f.u.

A plane-wave DFT calculation with GGA-PBE was carried out for a relaxed MgBeTl4 crystal.

```
MgBeTl4
1.0
0.0000 4.4914 4.4914
4.4914 0.0000 4.4914
4.4914 4.4914 0.0000
Mg Be Tl
1 1 4
direct
0.0000 0.0000 0.0000
0.2500 0.2500 0.2500
0.1256 0.6248 0.6248
0.6248 0.1256 0.6248
0.6248 0.6248 0.1256
0.6248 0.6248 0.6248
```

Crystal system ... cubic
Volume ... 181.2 Å³/f.u.
Calculated formation energy ... 0.63 eV/atom

A plane-wave DFT calculation with GGA-PBE was carried out for a relaxed TlSi2Rh2 crystal.

```
TlSi2Rh2
1.0
7.5016 0.0000 0.0000
0.0000 7.5016 0.0000
0.0000 0.0000 2.8417
Tl Si Rh
2 4 4
direct
0.0000 0.0000 0.0000
0.5000 0.5000 0.0000
0.1400 0.3600 0.5000
0.3600 0.8600 0.5000
0.6400 0.1400 0.5000
0.8600 0.6400 0.5000
0.1407 0.6407 0.0000
0.3593 0.1407 0.0000
0.6407 0.8593 0.0000
0.8593 0.3593 0.0000
```

Energy relative to the elements, uncorrected ... -0.250 eV/atom
Crystal system ... tetragonal
Volume ... 80.0 Å³/f.u.
Relative energy among the computed polymorphs ... 207.5 meV per atom

In the order shown, the computed mass density values come out to 3.83 7.80 9.69 g/cm³.